No. 1
Material: Zr2ZnAsRh
Method: DFT, PBE
State: relaxed

Calculated values
E_form, kJ/mol of formula units: 17.1
Space-group type: P4/mmm

a = 4.9666 Å, b = 4.9666 Å, c = 4.6735 Å
α = 90.00°, β = 90.00°, γ = 90.00°
Last column: nearest neighbours and their distance in Å.
Fractional coordinates of all 5 atoms:
1 Zr 0.0000 0.5000 0.0000  2 Rh 2.48
2 Zr 0.5000 0.0000 0.0000  2 Rh 2.48
3 Zn 0.0000 0.0000 0.5000  2 Rh 2.34
4 As 0.5000 0.5000 0.5000  8 Zr 3.41, 4 Zn 3.51
5 Rh 0.0000 0.0000 0.0000  2 Zn 2.34, 4 Zr 2.48

No. 2
Material: Y2MgOs
Method: DFT, PBE
State: relaxed

Calculated values
E_form, kJ/mol of formula units: 100.4
Space-group type: I-42d

a = 6.6132 Å, b = 6.6132 Å, c = 6.6132 Å
α = 102.18°, β = 102.18°, γ = 125.31°
Last column: nearest neighbours and their distance in Å.
Fractional coordinates of all 8 atoms:
1 Y 0.0599 0.6250 0.9349  2 Os 2.69
2 Y 0.3750 0.3099 0.4349  2 Os 2.69
3 Y 0.6901 0.1250 0.0651  2 Os 2.69
4 Y 0.8750 0.9401 0.5651  2 Os 2.69
5 Mg 0.2500 0.7500 0.5000  2 Os 3.04
6 Mg 0.5000 0.5000 0.0000  2 Os 3.04
7 Os 0.0000 0.0000 0.0000  4 Y 2.69
8 Os 0.7500 0.2500 0.5000  4 Y 2.69

No. 3
Material: Cs2HgO
Method: DFT, PBE
State: relaxed

Calculated values
Space-group type: I-42d
Raw formation energy, meV/atom: -632
Energy relative to the lowest polymorph listed for this composition, meV/atom: 95

a = 7.5223 Å, b = 7.5223 Å, c = 7.5223 Å
α = 107.54°, β = 107.54°, γ = 113.40°
Last column: nearest neighbours and their distance in Å.
Fractional coordinates of all 8 atoms:
1 Cs 0.0233 0.1250 0.3983  2 O 2.78
2 Cs 0.3750 0.9767 0.1017  2 O 2.78
3 Cs 0.7267 0.6250 0.6017  2 O 2.78
4 Cs 0.8750 0.2733 0.8983  2 O 2.78
5 Hg 0.2500 0.7500 0.5000  8 Cs 3.97-4.03, 2 O 4.13
6 Hg 0.5000 0.5000 0.0000  8 Cs 3.97-4.03, 2 O 4.13
7 O 0.0000 0.0000 0.0000  4 Cs 2.78
8 O 0.7500 0.2500 0.5000  4 Cs 2.78

No. 4
Material: BaZr2Al
Method: DFT, PBE
State: relaxed

Calculated values
E_form, kJ/mol of formula units: 150.1
Space-group type: P4/mmm

a = 4.7180 Å, b = 4.7180 Å, c = 4.5371 Å
α = 90.00°, β = 90.00°, γ = 90.00°
Last column: nearest neighbours and their distance in Å.
Fractional coordinates of all 4 atoms:
1 Ba 0.0000 0.0000 0.0000  8 Zr 3.27, 4 Al 3.34
2 Zr 0.0000 0.5000 0.5000  4 Al 3.27, 4 Ba 3.27, 4 Zr 3.34
3 Zr 0.5000 0.0000 0.5000  4 Al 3.27, 4 Ba 3.27, 4 Zr 3.34
4 Al 0.5000 0.5000 0.0000  8 Zr 3.27, 4 Ba 3.34

No. 5
Material: Li4GdPb
Method: DFT, PBE
State: relaxed

Calculated values
E_form, kJ/mol of formula units: -72.0
Space-group type: F-43m

a = 5.6335 Å, b = 5.6335 Å, c = 5.6335 Å
α = 60.00°, β = 60.00°, γ = 60.00°
Last column: nearest neighbours and their distance in Å.
Fractional coordinates of all 6 atoms:
1 Li 0.1249 0.1249 0.1249  6 Li 2.81-2.82
2 Li 0.1249 0.1249 0.6254  6 Li 2.81-2.82
3 Li 0.1249 0.6254 0.1249  6 Li 2.81-2.82
4 Li 0.6254 0.1249 0.1249  6 Li 2.81-2.82
5 Gd 0.7500 0.7500 0.7500  12 Li 3.30, 4 Pb 3.45
6 Pb 0.5000 0.5000 0.5000  12 Li 3.30, 4 Gd 3.45

No. 6
Material: Ca5Zr3H12
Method: DFT, PBE
State: relaxed

Calculated values
Space-group type: Ia-3d
DFT total energy, eV per atom: -4.06

a = 11.0031 Å, b = 11.0031 Å, c = 11.0031 Å
α = 109.47°, β = 109.47°, γ = 109.47°
Last column: nearest neighbours and their distance in Å.
Fractional coordinates of all 80 atoms:
1 Ca 0.0000 0.0000 0.0000  6 H 2.24
2 Ca 0.0000 0.0000 0.5000  6 H 2.24
3 Ca 0.0000 0.5000 0.0000  6 H 2.24
4 Ca 0.0000 0.5000 0.5000  6 H 2.24
5 Ca 0.1250 0.7500 0.8750  4 H 2.21
6 Ca 0.1250 0.8750 0.2500  4 H 2.21
7 Ca 0.2500 0.1250 0.8750  4 H 2.21
8 Ca 0.2500 0.6250 0.3750  4 H 2.21
9 Ca 0.3750 0.2500 0.6250  4 H 2.21
10 Ca 0.3750 0.6250 0.7500  4 H 2.21
11 Ca 0.5000 0.0000 0.0000  6 H 2.24
12 Ca 0.5000 0.0000 0.5000  6 H 2.24
13 Ca 0.5000 0.5000 0.0000  6 H 2.24
14 Ca 0.5000 0.5000 0.5000  6 H 2.24
15 Ca 0.6250 0.3750 0.2500  4 H 2.21
16 Ca 0.6250 0.7500 0.3750  4 H 2.21
17 Ca 0.7500 0.3750 0.6250  4 H 2.21
18 Ca 0.7500 0.8750 0.1250  4 H 2.21
19 Ca 0.8750 0.1250 0.7500  4 H 2.21
20 Ca 0.8750 0.2500 0.1250  4 H 2.21
21 Zr 0.1250 0.2500 0.3750  8 H 2.17-2.24
22 Zr 0.1250 0.3750 0.7500  8 H 2.17-2.24
23 Zr 0.2500 0.3750 0.1250  8 H 2.17-2.24
24 Zr 0.2500 0.8750 0.6250  8 H 2.17-2.24
25 Zr 0.3750 0.1250 0.2500  8 H 2.17-2.24
26 Zr 0.3750 0.7500 0.1250  8 H 2.17-2.24
27 Zr 0.6250 0.2500 0.8750  8 H 2.17-2.24
28 Zr 0.6250 0.8750 0.7500  8 H 2.17-2.24
29 Zr 0.7500 0.1250 0.3750  8 H 2.17-2.24
30 Zr 0.7500 0.6250 0.8750  8 H 2.17-2.24
31 Zr 0.8750 0.6250 0.2500  8 H 2.17-2.24
32 Zr 0.8750 0.7500 0.6250  8 H 2.17-2.24
33 H 0.0746 0.7356 0.6570  1 H 2.02, 2 Zr 2.17-2.24, 2 Ca 2.21-2.24
34 H 0.0746 0.8390 0.4177  1 H 2.02, 2 Zr 2.17-2.24, 2 Ca 2.21-2.24
35 H 0.0786 0.2356 0.1610  1 H 2.02, 2 Zr 2.17-2.24, 2 Ca 2.21-2.24
36 H 0.0786 0.3430 0.9177  1 H 2.02, 2 Zr 2.17-2.24, 2 Ca 2.21-2.24
37 H 0.0823 0.6610 0.4254  1 H 2.02, 2 Zr 2.17-2.24, 2 Ca 2.21-2.24
38 H 0.0823 0.9214 0.6570  1 H 2.02, 2 Zr 2.17-2.24, 2 Ca 2.21-2.24
39 H 0.1570 0.2356 0.5746  1 H 2.02, 2 Zr 2.17-2.24, 2 Ca 2.21-2.24
40 H 0.1570 0.4214 0.5823  1 H 2.02, 2 Zr 2.17-2.24, 2 Ca 2.21-2.24
41 H 0.1610 0.0786 0.2356  1 H 2.02, 2 Zr 2.17-2.24, 2 Ca 2.21-2.24
42 H 0.1610 0.5823 0.9254  1 H 2.02, 2 Zr 2.17-2.24, 2 Ca 2.21-2.24
43 H 0.2356 0.1610 0.0786  1 H 2.02, 2 Zr 2.17-2.24, 2 Ca 2.21-2.24
44 H 0.2356 0.5746 0.1570  1 H 2.02, 2 Zr 2.17-2.24, 2 Ca 2.21-2.24
45 H 0.2644 0.3430 0.9254  1 H 2.02, 2 Zr 2.17-2.24, 2 Ca 2.21-2.24
46 H 0.2644 0.4214 0.3390  1 H 2.02, 2 Zr 2.17-2.24, 2 Ca 2.21-2.24
47 H 0.3390 0.2644 0.4214  1 H 2.02, 2 Zr 2.17-2.24, 2 Ca 2.21-2.24
48 H 0.3390 0.5746 0.9177  1 H 2.02, 2 Zr 2.17-2.24, 2 Ca 2.21-2.24
49 H 0.3430 0.9177 0.0786  1 H 2.02, 2 Zr 2.17-2.24, 2 Ca 2.21-2.24
50 H 0.3430 0.9254 0.2644  1 H 2.02, 2 Zr 2.17-2.24, 2 Ca 2.21-2.24
51 H 0.4177 0.0746 0.8390  1 H 2.02, 2 Zr 2.17-2.24, 2 Ca 2.21-2.24
52 H 0.4177 0.8430 0.5786  1 H 2.02, 2 Zr 2.17-2.24, 2 Ca 2.21-2.24
53 H 0.4214 0.3390 0.2644  1 H 2.02, 2 Zr 2.17-2.24, 2 Ca 2.21-2.24
54 H 0.4214 0.5823 0.1570  1 H 2.02, 2 Zr 2.17-2.24, 2 Ca 2.21-2.24
55 H 0.4254 0.0823 0.6610  1 H 2.02, 2 Zr 2.17-2.24, 2 Ca 2.21-2.24
56 H 0.4254 0.8430 0.7644  1 H 2.02, 2 Zr 2.17-2.24, 2 Ca 2.21-2.24
57 H 0.5746 0.1570 0.2356  1 H 2.02, 2 Zr 2.17-2.24, 2 Ca 2.21-2.24
58 H 0.5746 0.9177 0.3390  1 H 2.02, 2 Zr 2.17-2.24, 2 Ca 2.21-2.24
59 H 0.5786 0.4177 0.8430  1 H 2.02, 2 Zr 2.17-2.24, 2 Ca 2.21-2.24
60 H 0.5786 0.6610 0.7356  1 H 2.02, 2 Zr 2.17-2.24, 2 Ca 2.21-2.24
61 H 0.5823 0.1570 0.4214  1 H 2.02, 2 Zr 2.17-2.24, 2 Ca 2.21-2.24
62 H 0.5823 0.9254 0.1610  1 H 2.02, 2 Zr 2.17-2.24, 2 Ca 2.21-2.24
63 H 0.6570 0.0746 0.7356  1 H 2.02, 2 Zr 2.17-2.24, 2 Ca 2.21-2.24
64 H 0.6570 0.0823 0.9214  1 H 2.02, 2 Zr 2.17-2.24, 2 Ca 2.21-2.24
65 H 0.6610 0.4254 0.0823  1 H 2.02, 2 Zr 2.17-2.24, 2 Ca 2.21-2.24
66 H 0.6610 0.7356 0.5786  1 H 2.02, 2 Zr 2.17-2.24, 2 Ca 2.21-2.24
67 H 0.7356 0.5786 0.6610  1 H 2.02, 2 Zr 2.17-2.24, 2 Ca 2.21-2.24
68 H 0.7356 0.6570 0.0746  1 H 2.02, 2 Zr 2.17-2.24, 2 Ca 2.21-2.24
69 H 0.7644 0.4254 0.8430  1 H 2.02, 2 Zr 2.17-2.24, 2 Ca 2.21-2.24
70 H 0.7644 0.8390 0.9214  1 H 2.02, 2 Zr 2.17-2.24, 2 Ca 2.21-2.24
71 H 0.8390 0.4177 0.0746  1 H 2.02, 2 Zr 2.17-2.24, 2 Ca 2.21-2.24
72 H 0.8390 0.9214 0.7644  1 H 2.02, 2 Zr 2.17-2.24, 2 Ca 2.21-2.24
73 H 0.8430 0.5786 0.4177  1 H 2.02, 2 Zr 2.17-2.24, 2 Ca 2.21-2.24
74 H 0.8430 0.7644 0.4254  1 H 2.02, 2 Zr 2.17-2.24, 2 Ca 2.21-2.24
75 H 0.9177 0.0786 0.3430  1 H 2.02, 2 Zr 2.17-2.24, 2 Ca 2.21-2.24
76 H 0.9177 0.3390 0.5746  1 H 2.02, 2 Zr 2.17-2.24, 2 Ca 2.21-2.24
77 H 0.9214 0.6570 0.0823  1 H 2.02, 2 Zr 2.17-2.24, 2 Ca 2.21-2.24
78 H 0.9214 0.7644 0.8390  1 H 2.02, 2 Zr 2.17-2.24, 2 Ca 2.21-2.24
79 H 0.9254 0.1610 0.5823  1 H 2.02, 2 Zr 2.17-2.24, 2 Ca 2.21-2.24
80 H 0.9254 0.2644 0.3430  1 H 2.02, 2 Zr 2.17-2.24, 2 Ca 2.21-2.24

Please write out number 3 again, unchanged.
Material: Cs2HgO
Method: DFT, PBE
State: relaxed

Calculated values
Space-group type: I-42d
Raw formation energy, meV/atom: -632
Energy relative to the lowest polymorph listed for this composition, meV/atom: 95

a = 7.5223 Å, b = 7.5223 Å, c = 7.5223 Å
α = 107.54°, β = 107.54°, γ = 113.40°
Last column: nearest neighbours and their distance in Å.
Fractional coordinates of all 8 atoms:
1 Cs 0.0233 0.1250 0.3983  2 O 2.78
2 Cs 0.3750 0.9767 0.1017  2 O 2.78
3 Cs 0.7267 0.6250 0.6017  2 O 2.78
4 Cs 0.8750 0.2733 0.8983  2 O 2.78
5 Hg 0.2500 0.7500 0.5000  8 Cs 3.97-4.03, 2 O 4.13
6 Hg 0.5000 0.5000 0.0000  8 Cs 3.97-4.03, 2 O 4.13
7 O 0.0000 0.0000 0.0000  4 Cs 2.78
8 O 0.7500 0.2500 0.5000  4 Cs 2.78

Copy entry 3 word for word.
Material: Cs2HgO
Method: DFT, PBE
State: relaxed

Calculated values
Space-group type: I-42d
Raw formation energy, meV/atom: -632
Energy relative to the lowest polymorph listed for this composition, meV/atom: 95

a = 7.5223 Å, b = 7.5223 Å, c = 7.5223 Å
α = 107.54°, β = 107.54°, γ = 113.40°
Last column: nearest neighbours and their distance in Å.
Fractional coordinates of all 8 atoms:
1 Cs 0.0233 0.1250 0.3983  2 O 2.78
2 Cs 0.3750 0.9767 0.1017  2 O 2.78
3 Cs 0.7267 0.6250 0.6017  2 O 2.78
4 Cs 0.8750 0.2733 0.8983  2 O 2.78
5 Hg 0.2500 0.7500 0.5000  8 Cs 3.97-4.03, 2 O 4.13
6 Hg 0.5000 0.5000 0.0000  8 Cs 3.97-4.03, 2 O 4.13
7 O 0.0000 0.0000 0.0000  4 Cs 2.78
8 O 0.7500 0.2500 0.5000  4 Cs 2.78